Entry 1:
# LaRh2Pb

A geometry-optimized LaRh2Pb structure (PBE-GGA, Alexandria).

Lattice parameters (Å, degrees): 4.449 5.644 7.176 90.00 90.00 90.00
Atoms (fractional coordinates):
Rh 0.000 0.250 0.138
Rh 0.500 0.000 0.000
Rh 0.000 0.750 0.862
Rh 0.500 0.500 0.000
Pb 0.500 0.250 0.359
Pb 0.500 0.750 0.641
La 0.000 0.250 0.749
La 0.000 0.750 0.251

Calculated values
Space-group type: Pmma, No. 51
DOS at the Fermi energy, states/eV per cell: 6.17
Energy, eV per atom: -6.41
Formation energy, meV/atom: -574
Magnetization, μB/f.u.: 0.00

***

Entry 2:
# FeAg2Mo

A geometry-optimized FeAg2Mo structure (PBE-GGA, Alexandria).

Lattice parameters (Å, degrees): 4.700 4.700 4.700 127.64 127.64 77.22
Site moments in Bohr magnetons follow the coordinates.
Atoms (fractional coordinates):
Ag 0.000 0.000 0.000  -0.01
Ag 0.250 0.750 0.500  0.01
Fe 0.500 0.500 0.000  2.63
Mo 0.750 0.250 0.500  -0.80

Calculated values
Space-group type: I-4m2, No. 119
DOS at the Fermi energy, states/eV per cell: 2.56
Energy, eV per atom: -5.64
Relative energy among the computed polymorphs, meV/atom: 305
Formation energy, meV/atom: 608
Magnetization, μB/f.u.: 1.79

***

Entry 3:
# ZnInO2F

A geometry-optimized ZnInO2F structure (PBE-GGA, Alexandria).

Lattice parameters (Å, degrees): 3.967 3.967 3.902 90.00 90.00 90.00
Atoms (fractional coordinates):
O 0.500 0.000 0.000
O 0.000 0.500 0.000
Zn 0.000 0.000 0.000
F 0.000 0.000 0.500
In 0.500 0.500 0.500

Calculated values
Space-group type: P4/mmm, No. 123
DOS at the Fermi energy, states/eV per cell: 1.16
Energy, eV per atom: -4.22
Magnetization, μB/f.u.: 0.00
Formation energy without anion corrections, eV/atom: -1.056

***

Entry 4:
# ThGaRh3

A geometry-optimized ThGaRh3 structure (PBE-GGA, Alexandria).

Lattice parameters (Å, degrees): 4.631 5.933 6.624 90.00 100.07 90.00
Atoms (fractional coordinates):
Rh 0.124 0.250 0.974
Rh 0.760 0.479 0.662
Rh 0.760 0.021 0.662
Rh 0.876 0.750 0.026
Rh 0.240 0.979 0.338
Rh 0.240 0.521 0.338
Ga 0.733 0.750 0.373
Ga 0.267 0.250 0.627
Th 0.682 0.250 0.190
Th 0.318 0.750 0.810

Calculated values
Space-group type: P2_1/m, No. 11
DOS at the Fermi energy, states/eV per cell: 4.75
Energy, eV per atom: -7.24
Relative energy among the computed polymorphs, meV/atom: 0
Formation energy, meV/atom: -736
Magnetization, μB/f.u.: 0.00

***

Entry 5:
# La12CdIn4N3

A geometry-optimized La12CdIn4N3 structure (PBE-GGA, Alexandria).

Lattice parameters (Å, degrees): 9.197 9.197 9.197 109.47 109.47 109.47
Atoms (fractional coordinates):
In 0.000 0.000 0.500
In 0.000 0.500 0.000
In 0.500 0.500 0.500
In 0.500 0.000 0.000
La 0.750 0.250 0.500
La 0.720 0.720 0.000
La 0.750 0.500 0.250
La 0.720 0.000 0.720
La 0.500 0.750 0.250
La 0.250 0.500 0.750
La 0.280 0.280 0.000
La 0.000 0.280 0.280
La 0.000 0.720 0.720
La 0.280 0.000 0.280
La 0.500 0.250 0.750
La 0.250 0.750 0.500
Cd 0.000 0.000 0.000
N 0.500 0.000 0.500
N 0.500 0.500 0.000
N 0.000 0.500 0.500

Calculated values
Space-group type: Im-3m, No. 229
DOS at the Fermi energy, states/eV per cell: 18.09
Energy, eV per atom: -5.39
Magnetization, μB/f.u.: 0.00
Formation energy without anion corrections, eV/atom: -0.594

***

Entry 6:
# Na3Ge2

A geometry-optimized Na3Ge2 structure (PBE-GGA, Alexandria).

Lattice parameters (Å, degrees): 4.931 5.662 5.662 73.05 64.18 64.18
Atoms (fractional coordinates):
Na 0.000 0.000 0.000
Na 0.789 0.711 0.711
Na 0.211 0.289 0.289
Ge 0.500 0.675 0.325
Ge 0.500 0.325 0.675

Calculated values
Space-group type: Immm, No. 71
DOS at the Fermi energy, states/eV per cell: 2.42
Energy, eV per atom: -2.70
Relative energy among the computed polymorphs, meV/atom: 0
Formation energy, meV/atom: -66
Magnetization, μB/f.u.: 0.00